## P
First-principles (meta-GGA SCAN) data for a PBEsol-optimized structure of Li5AlO4, as listed in Alexandria.

## Properties
* crystal system: orthorhombic
* Fermi-level density of states: 0.00 states/eV/cell

Geometry as CIF:
```
data_Li5AlO4
_symmetry_space_group_name_H-M 'P 1'
_symmetry_Int_Tables_number 1
_cell_length_a 4.606
_cell_length_b 6.267
_cell_length_c 6.395
_cell_angle_alpha 90.00
_cell_angle_beta 90.00
_cell_angle_gamma 90.00
loop_
_symmetry_equiv_pos_as_xyz
'x,y,z'
loop_
_atom_site_label
_atom_site_type_symbol
_atom_site_fract_x
_atom_site_fract_y
_atom_site_fract_z
Li1 Li 0.254 0.739 0.803
Li2 Li 0.746 0.239 0.303
O1 O 0.569 0.262 0.000
Li3 Li 0.254 0.261 0.197
Li4 Li 0.205 0.500 0.500
O2 O 0.431 0.762 0.500
Li5 Li 0.746 0.761 0.303
Al1 Al 0.776 0.500 0.000
O3 O 0.569 0.738 0.000
O4 O 0.015 0.000 0.266
Li6 Li 0.254 0.739 0.197
Al2 Al 0.224 0.000 0.500
O5 O 0.985 0.500 0.766
O6 O 0.985 0.500 0.234
Li7 Li 0.746 0.239 0.697
Li8 Li 0.795 0.000 0.000
Li9 Li 0.254 0.261 0.803
Li10 Li 0.746 0.761 0.697
O7 O 0.015 0.000 0.734
O8 O 0.431 0.238 0.500
```

***

## Q
First-principles (meta-GGA SCAN) data for a PBEsol-optimized structure of Li5AlO4, as listed in Alexandria.

## Properties
* crystal system: orthorhombic
* Fermi-level density of states: 0.00 states/eV/cell

Geometry as CIF:
```
data_Li5AlO4
_symmetry_space_group_name_H-M 'P 1'
_symmetry_Int_Tables_number 1
_cell_length_a 8.923
_cell_length_b 9.037
_cell_length_c 9.078
_cell_angle_alpha 90.00
_cell_angle_beta 90.00
_cell_angle_gamma 90.00
loop_
_symmetry_equiv_pos_as_xyz
'x,y,z'
loop_
_atom_site_label
_atom_site_type_symbol
_atom_site_fract_x
_atom_site_fract_y
_atom_site_fract_z
Li1 Li 0.139 0.114 0.398
O1 O 0.500 0.963 0.257
Li2 Li 0.139 0.614 0.102
Li3 Li 0.332 0.894 0.380
O2 O 0.500 0.463 0.243
Al1 Al 0.884 0.856 0.877
O3 O 0.500 0.037 0.743
Li4 Li 0.901 0.627 0.645
O4 O 0.239 0.514 0.462
O5 O 0.761 0.486 0.538
O6 O 0.239 0.014 0.038
Li5 Li 0.599 0.127 0.355
Li6 Li 0.132 0.853 0.621
Li7 Li 0.832 0.606 0.380
O7 O 0.000 0.037 0.243
Li8 Li 0.868 0.147 0.379
Li9 Li 0.861 0.886 0.602
Li10 Li 0.632 0.647 0.621
Al2 Al 0.116 0.644 0.377
O8 O 0.507 0.748 0.990
Li11 Li 0.668 0.106 0.620
Li12 Li 0.132 0.353 0.879
Li13 Li 0.168 0.894 0.880
Al3 Al 0.616 0.856 0.377
O9 O 0.739 0.986 0.462
O10 O 0.261 0.014 0.538
Li14 Li 0.868 0.647 0.121
O11 O 0.507 0.248 0.510
O12 O 0.493 0.752 0.490
Li15 Li 0.599 0.627 0.145
Al4 Al 0.384 0.144 0.623
O13 O 0.007 0.752 0.990
O14 O 0.761 0.986 0.962
O15 O 0.993 0.748 0.490
O16 O 0.739 0.486 0.038
Al5 Al 0.384 0.644 0.877
Li16 Li 0.632 0.147 0.879
Li17 Li 0.103 0.619 0.841
Li18 Li 0.639 0.886 0.102
Li19 Li 0.397 0.619 0.341
Li20 Li 0.103 0.119 0.659
O17 O 0.261 0.514 0.962
Al6 Al 0.616 0.356 0.123
O18 O 0.232 0.748 0.257
O19 O 0.732 0.252 0.243
Li21 Li 0.099 0.373 0.355
O20 O 0.768 0.252 0.743
Li22 Li 0.897 0.881 0.341
O21 O 0.000 0.463 0.743
Al7 Al 0.884 0.356 0.623
O22 O 0.000 0.537 0.257
O23 O 0.500 0.537 0.757
Li23 Li 0.639 0.386 0.398
Li24 Li 0.901 0.127 0.855
Al8 Al 0.116 0.144 0.123
O24 O 0.232 0.248 0.243
Li25 Li 0.832 0.106 0.120
O25 O 0.007 0.252 0.510
O26 O 0.732 0.752 0.257
Li26 Li 0.099 0.873 0.145
Li27 Li 0.401 0.873 0.645
Li28 Li 0.332 0.394 0.120
Li29 Li 0.861 0.386 0.898
Li30 Li 0.897 0.381 0.159
Li31 Li 0.401 0.373 0.855
Li32 Li 0.397 0.119 0.159
Li33 Li 0.668 0.606 0.880
Li34 Li 0.361 0.114 0.898
O27 O 0.493 0.252 0.010
O28 O 0.000 0.963 0.757
O29 O 0.768 0.752 0.757
Li35 Li 0.368 0.853 0.121
Li36 Li 0.368 0.353 0.379
O30 O 0.268 0.248 0.743
O31 O 0.268 0.748 0.757
O32 O 0.993 0.248 0.010
Li37 Li 0.361 0.614 0.602
Li38 Li 0.168 0.394 0.620
Li39 Li 0.603 0.881 0.841
Li40 Li 0.603 0.381 0.659
```

***

Q has the most favorable energy; the next structure is 6 meV/atom above.

***

## P
First-principles (meta-GGA SCAN) data for a PBEsol-optimized structure of Li3Al2VO6, as listed in Alexandria.

## Properties
* crystal system: triclinic

Geometry as CIF:
```
data_Li3Al2VO6
_symmetry_space_group_name_H-M 'P 1'
_symmetry_Int_Tables_number 1
_cell_length_a 5.285
_cell_length_b 5.765
_cell_length_c 7.719
_cell_angle_alpha 91.05
_cell_angle_beta 97.75
_cell_angle_gamma 90.47
loop_
_symmetry_equiv_pos_as_xyz
'x,y,z'
loop_
_atom_site_label
_atom_site_type_symbol
_atom_site_fract_x
_atom_site_fract_y
_atom_site_fract_z
O1 O 0.685 0.679 0.575
Li1 Li 0.650 0.340 0.580
Al1 Al 0.181 0.167 0.588
Li2 Li 0.176 0.843 0.092
Al2 Al 0.655 0.672 0.077
Al3 Al 0.345 0.328 0.923
O2 O 0.343 0.643 0.924
V1 V 0.002 0.332 0.248
O3 O 0.169 0.188 0.076
Al4 Al 0.819 0.833 0.412
Li3 Li 0.824 0.157 0.908
Li4 Li 0.495 0.169 0.253
O4 O 0.971 0.662 0.252
Li5 Li 0.505 0.831 0.747
O5 O 0.029 0.338 0.748
O6 O 0.471 0.167 0.754
O7 O 0.315 0.321 0.425
V2 V 0.998 0.668 0.752
O8 O 0.657 0.357 0.076
O9 O 0.137 0.849 0.580
O10 O 0.863 0.151 0.420
Li6 Li 0.350 0.660 0.420
O11 O 0.831 0.812 0.924
O12 O 0.529 0.833 0.246
```

***

## Q
First-principles (meta-GGA SCAN) data for a PBEsol-optimized structure of Li3Al2VO6, as listed in Alexandria.

## Properties
* crystal system: monoclinic

Geometry as CIF:
```
data_Li3Al2VO6
_symmetry_space_group_name_H-M 'P 1'
_symmetry_Int_Tables_number 1
_cell_length_a 4.937
_cell_length_b 4.937
_cell_length_c 5.012
_cell_angle_alpha 99.50
_cell_angle_beta 99.50
_cell_angle_gamma 119.96
loop_
_symmetry_equiv_pos_as_xyz
'x,y,z'
loop_
_atom_site_label
_atom_site_type_symbol
_atom_site_fract_x
_atom_site_fract_y
_atom_site_fract_z
V1 V 0.000 0.000 0.500
Li1 Li 0.833 0.167 0.000
O1 O 0.727 0.727 0.721
Al1 Al 0.667 0.333 0.500
O2 O 0.074 0.420 0.719
O3 O 0.580 0.926 0.281
Al2 Al 0.333 0.667 0.500
Li2 Li 0.167 0.833 0.000
Li3 Li 0.500 0.500 0.000
O4 O 0.273 0.273 0.279
O5 O 0.420 0.074 0.719
O6 O 0.926 0.580 0.281
```

***

Q has the most favorable energy; the next structure is 51 meV/atom above.

***

## P
First-principles (meta-GGA SCAN) data for a PBEsol-optimized structure of LiAl2Os, as listed in Alexandria.

## Properties
* crystal system: monoclinic
* Fermi-level density of states: 2.13 states/eV/cell

Geometry as CIF:
```
data_LiAl2Os
_symmetry_space_group_name_H-M 'P 1'
_symmetry_Int_Tables_number 1
_cell_length_a 2.662
_cell_length_b 4.508
_cell_length_c 5.025
_cell_angle_alpha 96.06
_cell_angle_beta 90.00
_cell_angle_gamma 107.17
loop_
_symmetry_equiv_pos_as_xyz
'x,y,z'
loop_
_atom_site_label
_atom_site_type_symbol
_atom_site_fract_x
_atom_site_fract_y
_atom_site_fract_z
Al1 Al 0.760 0.521 0.763
Os1 Os 0.500 0.000 0.000
Al2 Al 0.240 0.479 0.237
Li1 Li 0.000 0.000 0.500
```

***

## Q
First-principles (meta-GGA SCAN) data for a PBEsol-optimized structure of LiAl2Os, as listed in Alexandria.

## Properties
* crystal system: tetragonal
* Fermi-level density of states: 1.15 states/eV/cell

Geometry as CIF:
```
data_LiAl2Os
_symmetry_space_group_name_H-M 'P 1'
_symmetry_Int_Tables_number 1
_cell_length_a 3.025
_cell_length_b 4.220
_cell_length_c 4.220
_cell_angle_alpha 90.00
_cell_angle_beta 90.00
_cell_angle_gamma 90.00
loop_
_symmetry_equiv_pos_as_xyz
'x,y,z'
loop_
_atom_site_label
_atom_site_type_symbol
_atom_site_fract_x
_atom_site_fract_y
_atom_site_fract_z
Al1 Al 0.000 0.500 0.000
Al2 Al 0.000 0.000 0.500
Li1 Li 0.500 0.000 0.000
Os1 Os 0.500 0.500 0.500
```

***

Q has the most favorable energy; the next structure is 250 meV/atom above.

***

## P
First-principles (meta-GGA SCAN) data for a PBEsol-optimized structure of LiAl2Os, as listed in Alexandria.

## Properties
* crystal system: orthorhombic
* Fermi-level density of states: 0.86 states/eV/cell

Geometry as CIF:
```
data_LiAl2Os
_symmetry_space_group_name_H-M 'P 1'
_symmetry_Int_Tables_number 1
_cell_length_a 3.145
_cell_length_b 4.022
_cell_length_c 4.938
_cell_angle_alpha 114.03
_cell_angle_beta 108.57
_cell_angle_gamma 90.00
loop_
_symmetry_equiv_pos_as_xyz
'x,y,z'
loop_
_atom_site_label
_atom_site_type_symbol
_atom_site_fract_x
_atom_site_fract_y
_atom_site_fract_z
Al1 Al 0.755 0.755 0.510
Li1 Li 0.504 0.004 0.009
Al2 Al 0.992 0.492 0.983
Os1 Os 0.249 0.249 0.498
```

***

## Q
First-principles (meta-GGA SCAN) data for a PBEsol-optimized structure of LiAl2Os, as listed in Alexandria.

## Properties
* crystal system: cubic
* Fermi-level density of states: 1.31 states/eV/cell

Geometry as CIF:
```
data_LiAl2Os
_symmetry_space_group_name_H-M 'P 1'
_symmetry_Int_Tables_number 1
_cell_length_a 4.243
_cell_length_b 4.243
_cell_length_c 4.243
_cell_angle_alpha 60.00
_cell_angle_beta 60.00
_cell_angle_gamma 60.00
loop_
_symmetry_equiv_pos_as_xyz
'x,y,z'
loop_
_atom_site_label
_atom_site_type_symbol
_atom_site_fract_x
_atom_site_fract_y
_atom_site_fract_z
Al1 Al 0.750 0.750 0.750
Os1 Os 0.000 0.000 0.000
Li1 Li 0.500 0.500 0.500
Al2 Al 0.250 0.250 0.250
```

***

Q has the most favorable energy; the next structure is 106 meV/atom above.

***

## P
First-principles (meta-GGA SCAN) data for a PBEsol-optimized structure of LiAlRe, as listed in Alexandria.

## Properties
* crystal system: tetragonal
* Fermi-level density of states: 1.75 states/eV/cell

Geometry as CIF:
```
data_LiAlRe
_symmetry_space_group_name_H-M 'P 1'
_symmetry_Int_Tables_number 1
_cell_length_a 2.968
_cell_length_b 2.968
_cell_length_c 4.971
_cell_angle_alpha 107.37
_cell_angle_beta 107.37
_cell_angle_gamma 90.00
loop_
_symmetry_equiv_pos_as_xyz
'x,y,z'
loop_
_atom_site_label
_atom_site_type_symbol
_atom_site_fract_x
_atom_site_fract_y
_atom_site_fract_z
Al1 Al 0.004 0.004 0.009
Li1 Li 0.664 0.664 0.328
Re1 Re 0.331 0.331 0.663
```

***

## Q
First-principles (meta-GGA SCAN) data for a PBEsol-optimized structure of LiAlRe, as listed in Alexandria.

## Properties
* crystal system: orthorhombic
* Fermi-level density of states: 1.96 states/eV/cell

Geometry as CIF:
```
data_LiAlRe
_symmetry_space_group_name_H-M 'P 1'
_symmetry_Int_Tables_number 1
_cell_length_a 2.570
_cell_length_b 4.073
_cell_length_c 4.617
_cell_angle_alpha 116.17
_cell_angle_beta 106.16
_cell_angle_gamma 90.00
loop_
_symmetry_equiv_pos_as_xyz
'x,y,z'
loop_
_atom_site_label
_atom_site_type_symbol
_atom_site_fract_x
_atom_site_fract_y
_atom_site_fract_z
Re1 Re 0.337 0.337 0.674
Li1 Li 0.665 0.665 0.330
Al1 Al 0.998 0.998 0.996
```

***

Q has the most favorable energy; the next structure is 195 meV/atom above.

***

## P
First-principles (meta-GGA SCAN) data for a PBEsol-optimized structure of LiAl2Rh2, as listed in Alexandria.

## Properties
* crystal system: tetragonal
* Fermi-level density of states: 1.17 states/eV/cell

Geometry as CIF:
```
data_LiAl2Rh2
_symmetry_space_group_name_H-M 'P 1'
_symmetry_Int_Tables_number 1
_cell_length_a 3.876
_cell_length_b 3.876
_cell_length_c 6.099
_cell_angle_alpha 108.53
_cell_angle_beta 108.53
_cell_angle_gamma 90.00
loop_
_symmetry_equiv_pos_as_xyz
'x,y,z'
loop_
_atom_site_label
_atom_site_type_symbol
_atom_site_fract_x
_atom_site_fract_y
_atom_site_fract_z
Li1 Li 0.000 0.000 0.000
Rh1 Rh 0.615 0.615 0.229
Al1 Al 0.250 0.750 0.500
Al2 Al 0.750 0.250 0.500
Rh2 Rh 0.385 0.385 0.771
```

***

## Q
First-principles (meta-GGA SCAN) data for a PBEsol-optimized structure of LiAl2Rh2, as listed in Alexandria.

## Properties
* crystal system: tetragonal
* Fermi-level density of states: 3.33 states/eV/cell

Geometry as CIF:
```
data_LiAl2Rh2
_symmetry_space_group_name_H-M 'P 1'
_symmetry_Int_Tables_number 1
_cell_length_a 2.891
_cell_length_b 7.035
_cell_length_c 7.035
_cell_angle_alpha 90.00
_cell_angle_beta 90.00
_cell_angle_gamma 90.00
loop_
_symmetry_equiv_pos_as_xyz
'x,y,z'
loop_
_atom_site_label
_atom_site_type_symbol
_atom_site_fract_x
_atom_site_fract_y
_atom_site_fract_z
Rh1 Rh 0.000 0.649 0.149
Al1 Al 0.500 0.147 0.647
Al2 Al 0.500 0.353 0.147
Li1 Li 0.000 0.500 0.500
Al3 Al 0.500 0.853 0.353
Rh2 Rh 0.000 0.851 0.649
Li2 Li 0.000 0.000 0.000
Al4 Al 0.500 0.647 0.853
Rh3 Rh 0.000 0.149 0.351
Rh4 Rh 0.000 0.351 0.851
```

***

Q has the most favorable energy; the next structure is 368 meV/atom above.